(1)
TbErBr | PBE | relaxed

Results
For the electronic total energy, the calculation gives -13.1 eV per cell. The calculation puts the formation energy without anion corrections at -728.9 meV/atom. The value obtained for the magnetic moment is 0.253 μB per cell.

a = 3.7075 Å, b = 3.7075 Å, c = 7.2621 Å
α = 90.00°, β = 90.00°, γ = 120.00°
Space group P3m1 (No. 156)
Asymmetric unit:
Tb1 0.0000 0.0000 0.0000 (multiplicity 1)
Er1 0.3333 0.6667 0.6373 (multiplicity 1)
Br1 0.6667 0.3333 0.3217 (multiplicity 1)

***

(2)
TbErBr6 | PBE | relaxed

Results
The value obtained for the offset from the most stable computed form is 0 meV/atom. For the electronic total energy, the calculation gives -67.9 eV per cell. The calculation puts the formation energy without anion corrections at -1837.6 meV/atom. The value obtained for the magnetic moment is 0.000 μB per cell.

a = 6.939 Å, b = 13.465 Å, c = 6.938 Å
α = 90.00°, β = 107.25°, γ = 90.00°
Space group C2/m (No. 12)
Asymmetric unit:
Tb1 0.000 0.000 0.000 (multiplicity 2)
Er1 0.000 0.500 0.500 (multiplicity 2)
Br1 0.247 0.357 0.747 (multiplicity 8)
Br2 0.249 0.500 0.251 (multiplicity 4)